Density functional theory data (GGA-PBE) for a relaxed structure of Ba2Sn2Pd.

For the calculated density, the calculation gives 6.5 g/cm³. As for the formation energy: -0.519 eV/atom. The symmetry is P4/mbm (127). The energy relative to the lowest polymorph listed for this composition is 146 meV/atom.

Lattice parameters (Å, degrees): 7.575 7.575 5.550 90.00 90.00 90.00
Fractional coordinates of all 10 atoms:
Ba: 0.664 0.836 0.500
Ba: 0.836 0.336 0.500
Ba: 0.336 0.164 0.500
Sn: 0.856 0.644 0.000
Sn: 0.144 0.356 0.000
Sn: 0.356 0.856 0.000
Sn: 0.644 0.144 0.000
Pd: 0.000 0.000 0.000
Pd: 0.500 0.500 0.000
Ba: 0.164 0.664 0.500